AcLaPb: relaxed, PBE.

E, eV per atom: -4.524
Density, Mg/m³: 7.8
ΔH_f (0 K), eV per atom: -0.28
Space-group type: F-43m, No. 216
Energy above the most stable polymorph in this dataset, meV per atom: 180

Structure (POSCAR):
```
AcLaPb
1.0
5.5767 0.0000 0.0000
2.7884 4.8296 0.0000
2.7884 1.6099 4.5534
Pb Ac La
1 1 1
direct
0.2500 0.2500 0.2500
0.0000 0.0000 0.0000
0.5000 0.5000 0.5000
```